VASP calculation (PBE-GGA) on a relaxed structure of Ag2TePd2.

Output
Formation energy without anion corrections ... -0.0928 eV per atom

Unit cell a=4.406 b=4.733 c=5.431 alpha=86.47 beta=66.25 gamma=62.35
Positions (direct):
Ag 0.104 0.204 0.089
Ag 0.896 0.796 0.911
Te 0.500 0.000 0.500
Pd 0.289 0.605 0.317
Pd 0.711 0.395 0.683

VASP calculation (PBE-GGA) on a relaxed structure of RbPb4N2.

Output
Formation energy without anion corrections ... 0.3585 eV per atom

Unit cell a=6.414 b=3.710 c=16.211 alpha=90.00 beta=97.60 gamma=90.00
Positions (direct):
Rb 0.000 0.000 0.000
Rb 0.500 0.500 0.000
Pb 0.100 0.500 0.804
Pb 0.135 0.000 0.400
Pb 0.365 0.500 0.600
Pb 0.400 0.000 0.196
Pb 0.600 0.000 0.804
Pb 0.635 0.500 0.400
Pb 0.865 0.000 0.600
Pb 0.900 0.500 0.196
N 0.054 0.500 0.666
N 0.446 0.000 0.334
N 0.554 0.000 0.666
N 0.946 0.500 0.334

VASP calculation (PBE-GGA) on a relaxed structure of Pm5Tl12Bi3.

Output
Energy relative to the elements ... 220 meV per atom

Unit cell a=15.895 b=15.895 c=15.895 alpha=109.47 beta=109.47 gamma=109.47
Positions (direct):
Pm 0.000 0.000 0.000
Pm 0.000 0.000 0.500
Pm 0.000 0.500 0.000
Pm 0.000 0.500 0.500
Pm 0.125 0.750 0.875
Pm 0.125 0.875 0.250
Pm 0.250 0.125 0.875
Pm 0.250 0.625 0.375
Pm 0.375 0.250 0.625
Pm 0.375 0.625 0.750
Pm 0.500 0.000 0.000
Pm 0.500 0.000 0.500
Pm 0.500 0.500 0.000
Pm 0.500 0.500 0.500
Pm 0.625 0.375 0.250
Pm 0.625 0.750 0.375
Pm 0.750 0.375 0.625
Pm 0.750 0.875 0.125
Pm 0.875 0.125 0.750
Pm 0.875 0.250 0.125
Tl 0.071 0.643 0.411
Tl 0.071 0.928 0.660
Tl 0.072 0.231 0.143
Tl 0.072 0.340 0.929
Tl 0.089 0.731 0.660
Tl 0.089 0.857 0.429
Tl 0.143 0.072 0.231
Tl 0.143 0.571 0.911
Tl 0.160 0.231 0.589
Tl 0.160 0.428 0.571
Tl 0.231 0.143 0.072
Tl 0.231 0.589 0.160
Tl 0.269 0.340 0.911
Tl 0.269 0.428 0.357
Tl 0.340 0.911 0.269
Tl 0.340 0.929 0.072
Tl 0.357 0.269 0.428
Tl 0.357 0.589 0.929
Tl 0.411 0.071 0.643
Tl 0.411 0.840 0.769
Tl 0.428 0.357 0.269
Tl 0.428 0.571 0.160
Tl 0.429 0.089 0.857
Tl 0.429 0.840 0.572
Tl 0.571 0.160 0.428
Tl 0.571 0.911 0.143
Tl 0.572 0.429 0.840
Tl 0.572 0.643 0.731
Tl 0.589 0.160 0.231
Tl 0.589 0.929 0.357
Tl 0.643 0.411 0.071
Tl 0.643 0.731 0.572
Tl 0.660 0.071 0.928
Tl 0.660 0.089 0.731
Tl 0.731 0.572 0.643
Tl 0.731 0.660 0.089
Tl 0.769 0.411 0.840
Tl 0.769 0.857 0.928
Tl 0.840 0.572 0.429
Tl 0.840 0.769 0.411
Tl 0.857 0.429 0.089
Tl 0.857 0.928 0.769
Tl 0.911 0.143 0.571
Tl 0.911 0.269 0.340
Tl 0.928 0.660 0.071
Tl 0.928 0.769 0.857
Tl 0.929 0.072 0.340
Tl 0.929 0.357 0.589
Bi 0.125 0.250 0.375
Bi 0.125 0.375 0.750
Bi 0.250 0.375 0.125
Bi 0.250 0.875 0.625
Bi 0.375 0.125 0.250
Bi 0.375 0.750 0.125
Bi 0.625 0.250 0.875
Bi 0.625 0.875 0.750
Bi 0.750 0.125 0.375
Bi 0.750 0.625 0.875
Bi 0.875 0.625 0.250
Bi 0.875 0.750 0.625

VASP calculation (PBE-GGA) on a relaxed structure of CaLaTl2H.

Unit cell a=5.313 b=5.313 c=4.492 alpha=90.00 beta=90.00 gamma=90.00
Positions (direct):
Ca 0.000 0.000 0.000
La 0.500 0.500 0.000
Tl 0.000 0.500 0.500
Tl 0.500 0.000 0.500
H 0.500 0.500 0.500

VASP calculation (PBE-GGA) on a relaxed structure of Cs3Mn2InCl9.

Output
Formation energy without anion corrections ... -1.4482 eV per atom

Unit cell a=7.424 b=7.424 c=9.119 alpha=90.00 beta=90.00 gamma=120.00
Positions (direct):
Cs 0.000 0.000 0.000
Cs 0.333 0.667 0.669
Cs 0.667 0.333 0.331
Mn 0.333 0.667 0.159
Mn 0.667 0.333 0.841
In 0.000 0.000 0.500
Cl 0.000 0.500 0.000
Cl 0.175 0.351 0.321
Cl 0.175 0.825 0.321
Cl 0.351 0.175 0.679
Cl 0.500 0.000 0.000
Cl 0.500 0.500 0.000
Cl 0.649 0.825 0.321
Cl 0.825 0.175 0.679
Cl 0.825 0.649 0.679

VASP calculation (PBE-GGA) on a relaxed structure of Li2LaY2In2.

Output
Energy relative to the elements ... -260 meV per atom

Unit cell a=9.506 b=9.506 c=9.506 alpha=30.05 beta=30.05 gamma=30.05
Positions (direct):
Li 0.091 0.091 0.091
Li 0.909 0.909 0.909
La 0.500 0.500 0.500
Y 0.371 0.371 0.371
Y 0.629 0.629 0.629
In 0.243 0.243 0.243
In 0.757 0.757 0.757

VASP calculation (PBE-GGA) on a relaxed structure of Sc4Ni2Pb.

Output
Energy relative to the elements ... -213 meV per atom

Unit cell a=9.398 b=9.398 c=9.398 alpha=27.07 beta=27.07 gamma=27.07
Positions (direct):
Sc 0.108 0.108 0.108
Sc 0.301 0.301 0.301
Sc 0.699 0.699 0.699
Sc 0.892 0.892 0.892
Ni 0.399 0.399 0.399
Ni 0.601 0.601 0.601
Pb 0.500 0.500 0.500

VASP calculation (PBE-GGA) on a relaxed structure of Pm3Th2Pb3.

Output
Energy relative to the elements ... -433 meV per atom

Unit cell a=9.485 b=9.485 c=6.607 alpha=90.00 beta=90.00 gamma=120.00
Positions (direct):
Pm 0.000 0.244 0.250
Pm 0.000 0.756 0.750
Pm 0.244 0.000 0.250
Pm 0.244 0.244 0.750
Pm 0.756 0.000 0.750
Pm 0.756 0.756 0.250
Th 0.333 0.667 0.000
Th 0.333 0.667 0.500
Th 0.667 0.333 0.000
Th 0.667 0.333 0.500
Pb 0.000 0.387 0.750
Pb 0.000 0.613 0.250
Pb 0.387 0.000 0.750
Pb 0.387 0.387 0.250
Pb 0.613 0.000 0.250
Pb 0.613 0.613 0.750

VASP calculation (PBE-GGA) on a relaxed structure of LiCe2Ni16.

Output
Energy relative to the elements ... -211 meV per atom

Unit cell a=6.276 b=6.276 c=6.276 alpha=83.02 beta=83.02 gamma=83.02
Positions (direct):
Li 0.000 0.000 0.000
Ce 0.251 0.251 0.251
Ce 0.573 0.573 0.573
Ni 0.065 0.566 0.566
Ni 0.210 0.609 0.910
Ni 0.210 0.910 0.609
Ni 0.254 0.254 0.753
Ni 0.254 0.753 0.254
Ni 0.413 0.909 0.909
Ni 0.566 0.065 0.566
Ni 0.566 0.566 0.065
Ni 0.609 0.210 0.910
Ni 0.609 0.910 0.210
Ni 0.753 0.254 0.254
Ni 0.810 0.810 0.810
Ni 0.909 0.413 0.909
Ni 0.909 0.909 0.413
Ni 0.910 0.210 0.609
Ni 0.910 0.609 0.210

VASP calculation (PBE-GGA) on a relaxed structure of Ba2ReW.

Output
Energy relative to the elements ... 1650 meV per atom

Unit cell a=4.203 b=4.203 c=5.674 alpha=90.00 beta=90.00 gamma=90.00
Positions (direct):
Ba 0.000 0.500 0.000
Ba 0.500 0.000 0.000
Re 0.000 0.000 0.500
W 0.500 0.500 0.500

VASP calculation (PBE-GGA) on a relaxed structure of NaSrAs4.

Output
Energy relative to the elements ... -293 meV per atom

Unit cell a=5.850 b=5.850 c=5.850 alpha=60.00 beta=60.00 gamma=60.00
Positions (direct):
Na 0.000 0.000 0.000
Sr 0.250 0.250 0.250
As 0.119 0.627 0.627
As 0.627 0.119 0.627
As 0.627 0.627 0.119
As 0.627 0.627 0.627

VASP calculation (PBE-GGA) on a relaxed structure of YBe2Ni.

Output
Energy relative to the elements ... -27 meV per atom

Unit cell a=2.948 b=2.948 c=6.317 alpha=90.00 beta=90.00 gamma=90.00
Positions (direct):
Y 0.000 0.000 0.000
Be 0.500 0.500 0.332
Be 0.500 0.500 0.668
Ni 0.000 0.000 0.500

no.,final energy (eV per cell)
1,-19.69
2,-59.88
3,-237.60
4,-16.51
5,-61.98
6,-28.98
7,-42.09
8,-87.37
9,-110.29
10,-22.65
11,-23.36
12,-19.80